*A*
VASP calculation (PBE) on a geometry-optimized Al2MoPt structure.

POSCAR file:
```
Al2MoPt
1.0
-8.408 -0.443 -2.987
-7.743 -3.229 -3.071
-8.673 -2.051 -0.630
Mo Al Pt
1 2 1
Cartesian
-12.405 -2.860 -3.342
-0.081 -0.019 -0.022
-6.194 -1.428 -1.669
-18.557 -4.278 -5.000
```

Values from the calculation:
The value obtained for the calculated volume is 62.45 Å³/f.u. Its space group is R3m.


*B*
VASP calculation (PBE) on a geometry-optimized Al2MoPt structure.

POSCAR file:
```
Al2MoPt
1.0
-1.536 -2.301 -3.203
0.313 -3.497 2.363
-3.077 0.486 1.127
Mo Al Pt
1 2 1
Cartesian
-2.306 -0.908 -1.038
0.000 0.000 0.000
-0.611 -2.899 -0.420
-1.382 -1.506 1.745
```

Values from the calculation:
The value obtained for the calculated volume is 59.33 Å³/f.u. Its space group is P4/mmm.


Calculated relative energies: *A* 309; *B* 0, given in meV/atom


*A*
VASP calculation (PBE) on a geometry-optimized Al2MoPt structure.

POSCAR file:
```
Al2MoPt
1.0
-1.648 -0.301 2.198
1.822 -1.748 1.127
3.733 6.246 3.653
Mo Al Pt
1 2 1
Cartesian
1.881 3.147 1.840
3.668 6.137 3.589
1.051 0.590 2.607
2.906 3.693 4.421
```

Values from the calculation:
The value obtained for the calculated volume is 62.21 Å³/f.u. Its space group is P4mm.


*B*
VASP calculation (PBE) on a geometry-optimized Al2MoPt structure.

POSCAR file:
```
Al2MoPt
1.0
-1.056 -1.899 6.563
-2.213 -6.188 -2.147
0.986 -5.028 2.345
Mo Al Pt
2 4 2
Cartesian
-1.635 -4.043 2.208
-1.431 -7.630 1.203
-0.715 -3.262 4.572
-1.244 -5.318 -0.088
-0.435 -6.660 3.464
-2.172 -10.991 5.572
0.000 0.000 0.000
-0.852 -5.485 5.558
```

Values from the calculation:
The value obtained for the calculated volume is 66.97 Å³/f.u. Its space group is I-42d.


Calculated relative energies: *A* 0; *B* 282, given in meV/atom


*A*
VASP calculation (PBE) on a geometry-optimized SrAlMo2Pt structure.

POSCAR file:
```
SrAlMo2Pt
1.0
5.019 0.000 0.000
0.000 4.748 0.000
0.000 0.000 5.019
Sr Mo Al Pt
1 2 1 1
Cartesian
2.510 2.374 2.510
0.000 0.000 2.510
2.510 0.000 0.000
0.000 2.374 0.000
0.000 0.000 0.000
```

Values from the calculation:
The value obtained for the calculated volume is 119.63 Å³/f.u. Its space group is P4/mmm.


*B*
VASP calculation (PBE) on a geometry-optimized SrAlMo2Pt structure.

POSCAR file:
```
SrAlMo2Pt
1.0
-4.585 1.037 -0.522
-0.524 -3.746 -2.839
-1.101 -2.861 3.978
Sr Mo Al Pt
1 2 1 1
Cartesian
0.000 0.000 0.000
-0.262 -1.873 -1.419
-2.292 0.519 -0.261
-0.550 -1.431 1.989
-3.105 -2.785 0.309
```

Values from the calculation:
The value obtained for the calculated volume is 112.33 Å³/f.u. Its space group is P4/mmm.


Calculated relative energies: *A* 0; *B* 1821, given in meV/atom


*A*
VASP calculation (PBE) on a geometry-optimized PuAlMo structure.

POSCAR file:
```
PuAlMo
1.0
-1.608 0.620 -1.787
-0.040 -4.642 -1.573
-3.214 1.464 3.399
Mo Al Pu
1 1 1
Cartesian
-1.340 0.517 -1.490
-3.495 -0.055 0.252
-1.634 -2.400 -0.512
```

Values from the calculation:
The value obtained for the calculated volume is 51.65 Å³/f.u. Its space group is P-6m2.


*B*
VASP calculation (PBE) on a geometry-optimized PuAlMo structure.

POSCAR file:
```
PuAlMo
1.0
-1.893 0.427 -2.041
0.260 -2.687 -0.803
-4.254 -0.654 5.752
Mo Al Pu
1 1 1
Cartesian
-2.632 -1.769 0.127
-3.254 -1.145 2.779
-0.002 -0.001 0.001
```

Values from the calculation:
The value obtained for the calculated volume is 54.77 Å³/f.u. Its space group is I4mm.


*C*
VASP calculation (PBE) on a geometry-optimized PuAlMo structure.

POSCAR file:
```
PuAlMo
1.0
-4.222 1.190 -3.300
3.625 -3.925 -1.258
-5.028 -6.011 4.265
Pu Al Mo
4 4 4
Cartesian
-0.556 -4.184 -0.555
-2.618 -1.602 -1.834
-5.755 -5.352 0.827
-2.353 -6.332 0.969
-5.464 -0.316 -2.233
-7.985 -3.330 -0.095
-3.286 -3.297 0.812
-3.579 -4.640 -1.427
-5.384 -2.697 -0.815
0.179 -2.427 -3.209
0.465 -1.117 -1.026
2.283 -3.050 -1.607
```

Values from the calculation:
The value obtained for the calculated volume is 57.19 Å³/f.u. Its space group is Amm2.


Calculated relative energies: *A* 324; *B* 129; *C* 0, given in meV/atom


*A*
VASP calculation (PBE) on a geometry-optimized RbAl3Mo structure.

POSCAR file:
```
RbAl3Mo
1.0
5.046 0.000 0.000
0.000 5.046 0.000
0.000 0.000 5.046
Mo Al Rb
1 3 1
Cartesian
0.000 0.000 0.000
0.000 2.523 0.000
0.000 0.000 2.523
2.523 0.000 0.000
2.523 2.523 2.523
```

Values from the calculation:
The value obtained for the calculated volume is 128.49 Å³/f.u. Its space group is Pm-3m.


*B*
VASP calculation (PBE) on a geometry-optimized RbAl3Mo structure.

POSCAR file:
```
RbAl3Mo
1.0
5.558 0.000 0.000
0.000 5.558 0.000
0.000 0.000 5.558
Mo Al Rb
1 3 1
Cartesian
2.779 2.779 2.779
0.000 2.779 0.000
0.000 0.000 2.779
2.779 0.000 0.000
0.000 0.000 0.000
```

Values from the calculation:
The value obtained for the calculated volume is 171.67 Å³/f.u. Its space group is Pm-3m.


Calculated relative energies: *A* 0; *B* 2090, given in meV/atom


*A*
VASP calculation (PBE) on a geometry-optimized RbAlMo3 structure.

POSCAR file:
```
RbAlMo3
1.0
-1.507 -2.892 -3.357
0.632 -3.650 2.861
-4.386 0.468 1.565
Mo Al Rb
3 1 1
Cartesian
0.316 -1.825 1.430
-2.193 0.234 0.783
-0.753 -1.446 -1.679
-2.630 -3.037 0.534
0.000 0.000 0.000
```

Values from the calculation:
The value obtained for the calculated volume is 102.51 Å³/f.u. Its space group is Pm-3m.


*B*
VASP calculation (PBE) on a geometry-optimized RbAlMo3 structure.

POSCAR file:
```
RbAlMo3
1.0
4.876 0.000 0.000
0.000 4.876 0.000
0.000 0.000 4.876
Mo Al Rb
3 1 1
Cartesian
0.000 2.438 0.000
0.000 0.000 2.438
2.438 0.000 0.000
0.000 0.000 0.000
2.438 2.438 2.438
```

Values from the calculation:
The value obtained for the calculated volume is 115.91 Å³/f.u. Its space group is Pm-3m.


Calculated relative energies: *A* 1104; *B* 0, given in meV/atom


*A*
VASP calculation (PBE) on a geometry-optimized AlReMo structure.

POSCAR file:
```
AlReMo
1.0
-3.110 -1.326 3.977
1.689 -6.593 -0.878
3.447 1.352 -0.279
Al Re Mo
2 2 2
Cartesian
0.311 -4.993 2.004
1.716 -1.574 0.817
-0.767 -0.327 0.981
-2.343 -0.999 2.997
1.821 -4.216 0.018
0.206 -2.351 2.803
```

Values from the calculation:
The value obtained for the calculated volume is 46.72 Å³/f.u. Its space group is C2/m.


*B*
VASP calculation (PBE) on a geometry-optimized AlReMo structure.

POSCAR file:
```
AlReMo
1.0
-3.541 2.314 0.297
-2.796 -0.790 3.089
-0.471 2.755 3.189
Re Mo Al
1 1 1
Cartesian
-1.702 1.070 1.644
-3.405 2.140 3.287
0.000 0.000 0.000
```

Values from the calculation:
The value obtained for the calculated volume is 53.93 Å³/f.u. Its space group is F-43m.


Calculated relative energies: *A* 0; *B* 236, given in meV/atom


*A*
VASP calculation (PBE) on a geometry-optimized AlReMo structure.

POSCAR file:
```
AlReMo
1.0
-4.011 1.491 0.923
0.680 -4.297 -0.485
0.532 -0.217 2.664
Re Mo Al
1 1 1
Cartesian
-2.105 -0.578 2.171
-0.685 -2.449 0.980
0.522 -0.213 2.614
```

Values from the calculation:
The value obtained for the calculated volume is 45.23 Å³/f.u. Its space group is P3m1.


*B*
VASP calculation (PBE) on a geometry-optimized AlReMo structure.

POSCAR file:
```
AlReMo
1.0
5.103 -0.015 0.000
3.194 3.979 0.000
-4.149 -1.982 2.213
Re Mo Al
1 1 1
Cartesian
5.575 2.664 0.000
2.702 1.291 0.000
0.020 0.009 0.000
```

Values from the calculation:
The value obtained for the calculated volume is 45.04 Å³/f.u. Its space group is I4mm.


*C*
VASP calculation (PBE) on a geometry-optimized AlReMo structure.

POSCAR file:
```
AlReMo
1.0
-5.050 1.746 4.358
-5.205 -0.976 4.101
1.248 0.694 2.336
Re Mo Al
1 1 1
Cartesian
-2.590 0.719 4.379
-6.429 0.745 6.422
-10.245 0.770 8.453
```

Values from the calculation:
The value obtained for the calculated volume is 45.61 Å³/f.u. Its space group is Fmm2.


Calculated relative energies: *A* 111; *B* 0; *C* 206, given in meV/atom


*A*
VASP calculation (PBE) on a geometry-optimized ZrAl2ReMo structure.

POSCAR file:
```
ZrAl2ReMo
1.0
4.648 0.000 0.000
0.000 4.787 0.000
0.000 0.000 4.648
Re Mo Al Zr
1 1 2 1
Cartesian
0.000 2.393 0.000
0.000 0.000 0.000
0.000 0.000 2.324
2.324 0.000 0.000
2.324 2.393 2.324
```

Values from the calculation:
The value obtained for the calculated volume is 103.41 Å³/f.u. Its space group is P4/mmm.


*B*
VASP calculation (PBE) on a geometry-optimized ZrAl2ReMo structure.

POSCAR file:
```
ZrAl2ReMo
1.0
-2.783 -3.825 0.278
1.171 -1.189 -4.639
3.666 -2.553 1.580
Re Mo Al Zr
1 1 2 1
Cartesian
0.000 0.000 0.000
1.027 -3.783 -1.391
1.833 -1.276 0.790
-1.391 -1.912 0.139
0.586 -0.595 -2.320
```

Values from the calculation:
The value obtained for the calculated volume is 110.69 Å³/f.u. Its space group is P4/mmm.


Calculated relative energies: *A* 0; *B* 87, given in meV/atom


*A*
VASP calculation (PBE) on a geometry-optimized Al2MoRh structure.

POSCAR file:
```
Al2MoRh
1.0
6.783 0.000 0.000
0.000 6.783 0.000
3.391 3.391 2.776
Mo Rh Al
2 2 4
Cartesian
3.391 3.391 0.000
3.391 6.783 1.388
0.000 0.000 0.000
6.783 3.391 1.388
5.239 1.696 0.694
1.544 5.087 0.694
5.087 4.936 2.082
8.479 8.630 2.082
```

Values from the calculation:
The value obtained for the calculated volume is 63.86 Å³/f.u. Its space group is I-42d.


*B*
VASP calculation (PBE) on a geometry-optimized Al2MoRh structure.

POSCAR file:
```
Al2MoRh
1.0
3.124 0.000 0.000
0.000 3.124 0.000
0.000 0.000 6.045
Mo Rh Al
1 1 2
Cartesian
0.000 0.000 2.976
1.562 1.562 4.685
0.000 0.000 5.957
1.562 1.562 1.493
```

Values from the calculation:
The value obtained for the calculated volume is 59.00 Å³/f.u. Its space group is P4mm.


*C*
VASP calculation (PBE) on a geometry-optimized Al2MoRh structure.

POSCAR file:
```
Al2MoRh
1.0
-2.655 -2.818 1.141
1.422 -0.382 2.365
-2.574 3.630 2.975
Mo Rh Al
1 1 2
Cartesian
-1.615 -0.597 1.906
-2.192 1.027 4.575
-1.247 3.260 5.148
-0.482 1.613 2.861
```

Values from the calculation:
The value obtained for the calculated volume is 59.64 Å³/f.u. Its space group is P2/m.


*D*
VASP calculation (PBE) on a geometry-optimized Al2MoRh structure.

POSCAR file:
```
Al2MoRh
1.0
-2.774 0.610 4.055
-3.982 -1.478 2.542
1.452 -3.071 3.078
Mo Rh Al
1 1 2
Cartesian
-2.610 -2.133 5.030
-1.415 -0.804 2.240
-6.626 -1.024 6.707
-4.061 -2.817 7.132
```

Values from the calculation:
The value obtained for the calculated volume is 58.98 Å³/f.u. Its space group is Cm.


Calculated relative energies: *A* 477; *B* 81; *C* 71; *D* 0, given in meV/atom


*A*
VASP calculation (PBE) on a geometry-optimized Al2MoRu2 structure.

POSCAR file:
```
Al2MoRu2
1.0
7.027 0.000 0.000
0.000 7.027 0.000
0.000 0.000 2.917
Ru Mo Al
4 2 4
Cartesian
1.148 4.662 1.458
4.662 5.879 1.458
5.879 2.365 1.458
2.365 1.148 1.458
0.000 0.000 0.000
3.514 3.514 0.000
2.574 6.087 0.000
6.087 4.453 0.000
4.453 0.940 0.000
0.940 2.574 0.000
```

Values from the calculation:
The value obtained for the calculated volume is 72.01 Å³/f.u. Its space group is P4/mbm.


*B*
VASP calculation (PBE) on a geometry-optimized Al2MoRu2 structure.

POSCAR file:
```
Al2MoRu2
1.0
2.964 0.000 0.000
0.000 2.828 0.536
0.000 -0.266 9.134
Al Mo Ru
2 1 2
Cartesian
0.000 0.343 5.917
0.000 2.218 3.753
0.000 0.000 0.000
1.482 1.089 1.984
1.482 1.473 7.686
```

Values from the calculation:
The value obtained for the calculated volume is 76.98 Å³/f.u. Its space group is Cmmm.


Calculated relative energies: *A* 21; *B* 0, given in meV/atom


*A*
VASP calculation (PBE) on a geometry-optimized AlMo2Ru2 structure.

POSCAR file:
```
AlMo2Ru2
1.0
7.544 0.000 0.000
0.000 7.544 0.000
0.000 0.000 2.816
Ru Mo Al
4 4 2
Cartesian
1.281 5.053 1.408
5.053 6.264 1.408
6.264 2.492 1.408
2.492 1.281 1.408
2.848 6.620 0.000
6.620 4.696 0.000
4.696 0.924 0.000
0.924 2.848 0.000
0.000 0.000 0.000
3.772 3.772 0.000
```

Values from the calculation:
The value obtained for the calculated volume is 80.14 Å³/f.u. Its space group is P4/mbm.


*B*
VASP calculation (PBE) on a geometry-optimized AlMo2Ru2 structure.

POSCAR file:
```
AlMo2Ru2
1.0
3.975 0.000 0.000
0.000 3.975 0.000
1.988 1.988 5.562
Ru Mo Al
2 2 1
Cartesian
3.975 1.988 2.781
1.988 3.975 2.781
1.988 1.988 1.241
3.975 3.975 4.321
0.000 0.000 0.000
```

Values from the calculation:
The value obtained for the calculated volume is 87.89 Å³/f.u. Its space group is I4/mmm.


Calculated relative energies: *A* 0; *B* 258, given in meV/atom